Entry 1:
The following is a DFT calculation (GGA-PBE) of an optimized crystal structure of Sn2SbBr.

Calculated values
As for the uncorrected formation energy: -211 meV per atom. As for the space-group type: No. 160. For the energy above the lowest structure with this stoichiometry, the calculation gives 0.08 eV/f.u.

a = 8.389 Å, b = 8.389 Å, c = 8.389 Å
α = 30.64°, β = 30.64°, γ = 30.64°
Element x y z (fractional)
Sn 0.000 0.000 0.000
Sn 0.191 0.191 0.191
Sb 0.590 0.590 0.590
Br 0.405 0.405 0.405

***

Entry 2:
The following is a DFT calculation (GGA-PBE) of an optimized crystal structure of Os2C.

Calculated values
The energy of formation from the pure elements is 0.542 eV/atom. As for the space-group type: No. 194. For the energy above the lowest structure with this stoichiometry, the calculation gives 0.11 eV/f.u.

a = 2.798 Å, b = 2.798 Å, c = 10.238 Å
α = 90.00°, β = 90.00°, γ = 120.00°
Element x y z (fractional)
Os 0.333 0.667 0.112
Os 0.333 0.667 0.388
Os 0.667 0.333 0.612
Os 0.667 0.333 0.888
C 0.000 0.000 0.250
C 0.000 0.000 0.750

***

Entry 3:
The following is a DFT calculation (GGA-PBE) of an optimized crystal structure of Ca2MgW.

Calculated values
The energy of formation from the pure elements is 0.614 eV/atom. As for the space-group type: No. 35.

a = 3.054 Å, b = 3.054 Å, c = 10.621 Å
α = 90.00°, β = 90.00°, γ = 91.43°
Element x y z (fractional)
Ca 0.000 0.000 0.000
Ca 0.500 0.500 0.321
Mg 0.500 0.500 0.740
W 0.000 0.000 0.545